No. 1
The following is a DFT calculation (GGA-PBE) of a geometry-optimized NbB2Rh structure.

Calculated values
Space-group type: I-42d (122)
Raw total energy: -7.316 eV/atom

abc: 4.316 4.316 6.648
angles: 71.06 71.06 90.00
Element x y z (fractional)
B1 0.056 0.625 0.250
B2 0.875 0.944 0.750
B3 0.694 0.125 0.250
B4 0.375 0.306 0.750
Nb1 0.250 0.750 0.500
Nb2 0.500 0.500 0.000
Rh1 0.750 0.250 0.500
Rh2 0.000 0.000 0.000

=====

No. 2
The following is a DFT calculation (GGA-PBE) of a geometry-optimized Dy6Al43Cr4 structure.

Calculated values
Space-group type: P6_3/mcm (193)
Raw total energy: -4.558 eV/atom

abc: 10.909 10.909 17.576
angles: 90.00 90.00 120.00
Element x y z (fractional)
Al1 0.000 0.155 0.884
Al2 0.402 0.547 0.250
Al3 0.158 0.391 0.334
Al4 0.000 0.845 0.384
Al5 0.333 0.667 0.373
Al6 0.333 0.667 0.627
Al7 0.547 0.402 0.250
Al8 0.391 0.233 0.834
Al9 0.158 0.767 0.666
Al10 0.233 0.391 0.666
Al11 0.609 0.842 0.666
Al12 0.845 0.000 0.384
Al13 0.667 0.333 0.127
Al14 0.507 0.754 0.000
Al15 0.845 0.845 0.884
Al16 0.000 0.155 0.616
Al17 0.667 0.333 0.627
Al18 0.855 0.000 0.750
Al19 0.507 0.754 0.500
Al20 0.000 0.750 0.530
Al21 0.333 0.667 0.873
Al22 0.246 0.754 0.000
Al23 0.250 0.250 0.530
Al24 0.598 0.144 0.250
Al25 0.767 0.158 0.834
Al26 0.145 0.145 0.750
Al27 0.233 0.842 0.166
Al28 0.000 0.145 0.250
Al29 0.609 0.767 0.334
Al30 0.391 0.158 0.166
Al31 0.000 0.845 0.116
Al32 0.144 0.598 0.250
Al33 0.842 0.609 0.666
Al34 0.845 0.000 0.116
Al35 0.842 0.233 0.334
Al36 0.767 0.158 0.666
Al37 0.855 0.855 0.250
Al38 0.609 0.767 0.166
Al39 0.145 0.000 0.250
Al40 0.767 0.609 0.166
Al41 0.856 0.453 0.250
Al42 0.391 0.233 0.666
Al43 0.767 0.609 0.334
Al44 0.845 0.845 0.616
Al45 0.493 0.246 0.000
Al46 0.246 0.493 0.000
Al47 0.250 0.000 0.470
Al48 0.547 0.144 0.750
Al49 0.453 0.598 0.750
Al50 0.750 0.750 0.470
Al51 0.754 0.507 0.500
Al52 0.750 0.000 0.970
Al53 0.000 0.250 0.030
Al54 0.667 0.333 0.873
Al55 0.842 0.233 0.166
Al56 0.000 0.855 0.750
Al57 0.250 0.000 0.030
Al58 0.391 0.158 0.334
Al59 0.155 0.155 0.384
Al60 0.233 0.842 0.334
Al61 0.155 0.000 0.616
Al62 0.333 0.667 0.127
Al63 0.155 0.155 0.116
Al64 0.453 0.856 0.250
Al65 0.493 0.246 0.500
Al66 0.158 0.391 0.166
Al67 0.246 0.493 0.500
Al68 0.754 0.246 0.500
Al69 0.754 0.507 0.000
Al70 0.246 0.754 0.500
Al71 0.609 0.842 0.834
Al72 0.144 0.547 0.750
Al73 0.250 0.250 0.970
Al74 0.155 0.000 0.884
Al75 0.856 0.402 0.750
Al76 0.598 0.453 0.750
Al77 0.750 0.000 0.530
Al78 0.667 0.333 0.373
Al79 0.750 0.750 0.030
Al80 0.158 0.767 0.834
Al81 0.842 0.609 0.834
Al82 0.402 0.856 0.750
Al83 0.000 0.750 0.970
Al84 0.754 0.246 0.000
Al85 0.233 0.391 0.834
Al86 0.000 0.250 0.470
Dy1 0.000 0.470 0.595
Dy2 0.470 0.470 0.095
Dy3 0.530 0.000 0.405
Dy4 0.530 0.000 0.095
Dy5 0.000 0.530 0.095
Dy6 0.470 0.000 0.595
Dy7 0.000 0.470 0.905
Dy8 0.470 0.470 0.405
Dy9 0.530 0.530 0.595
Dy10 0.470 0.000 0.905
Dy11 0.530 0.530 0.905
Dy12 0.000 0.530 0.405
Cr1 0.000 0.000 0.500
Cr2 0.000 0.000 0.000
Cr3 0.267 0.267 0.250
Cr4 0.000 0.733 0.250
Cr5 0.267 0.000 0.750
Cr6 0.733 0.733 0.750
Cr7 0.733 0.000 0.250
Cr8 0.000 0.267 0.750

=====

No. 3
The following is a DFT calculation (GGA-PBE) of a geometry-optimized Nd3GaB2Rh9 structure.

Calculated values
Space-group type: P-3m1 (164)
Raw total energy: -7.062 eV/atom

abc: 6.151 6.151 7.665
angles: 90.00 90.00 120.00
Element x y z (fractional)
Nd1 0.667 0.333 0.340
Nd2 0.000 0.000 0.000
Nd3 0.333 0.667 0.660
Rh1 0.822 0.644 0.691
Rh2 0.644 0.822 0.309
Rh3 0.500 0.500 0.000
Rh4 0.178 0.822 0.309
Rh5 0.822 0.178 0.691
Rh6 0.178 0.356 0.309
Rh7 0.000 0.500 0.000
Rh8 0.500 0.000 0.000
Rh9 0.356 0.178 0.691
Ga1 0.000 0.000 0.500
B1 0.667 0.333 0.854
B2 0.333 0.667 0.146

=====

No. 4
The following is a DFT calculation (GGA-PBE) of a geometry-optimized Cs2BaF structure.

Calculated values
Space-group type: R-3m (166)
Raw total energy: -2.558 eV/atom
Energy above the most stable polymorph in this dataset: 0.000 eV/atom
Energy relative to the elements, uncorrected: -1.183 eV per atom

abc: 4.457 4.457 12.625
angles: 79.83 79.83 60.00
Element x y z (fractional)
Cs1 0.120 0.120 0.640
Cs2 0.880 0.880 0.360
F1 0.500 0.500 0.500
Ba1 0.000 0.000 0.000

=====

No. 5
The following is a DFT calculation (GGA-PBE) of a geometry-optimized TlBr2Cl structure.

Calculated values
Space-group type: P4mm (99)
Raw total energy: -2.007 eV/atom
Energy above the most stable polymorph in this dataset: 0.387 eV/atom
Energy relative to the elements, uncorrected: -0.117 eV per atom

abc: 3.583 3.583 9.397
angles: 90.00 90.00 90.00
Element x y z (fractional)
Cl1 0.000 0.000 0.572
Br1 0.500 0.500 0.245
Br2 0.000 0.000 0.939
Tl1 0.500 0.500 0.745

=====

No. 6
The following is a DFT calculation (GGA-PBE) of a geometry-optimized SrEuPd structure.

Calculated values
Space-group type: P3m1 (156)
Raw total energy: -6.138 eV/atom
Energy above the most stable polymorph in this dataset: 0.008 eV/atom

abc: 6.944 4.322 4.322
angles: 120.00 90.00 90.00
Element x y z (fractional)
Eu1 0.235 0.333 0.667
Sr1 0.756 0.667 0.333
Pd1 0.008 0.000 0.000